# Ba3Nb5O15, relaxed, DFT PBE-GGA
# Electronic total energy ... -8.4229 eV per atom
# M_tot ... 0.02 μB per formula unit
data_Ba3Nb5O15
_chemical_formula_sum 'Ba6 Nb10 O30'
_cell_length_a 12.683
_cell_length_b 12.683
_cell_length_c 4.009
_cell_angle_alpha 90.00
_cell_angle_beta 90.00
_cell_angle_gamma 90.00
_symmetry_space_group_name_H-M 'P 4/m b m'
_symmetry_Int_Tables_number 127
_symmetry_space_group_name_Hall '-P 4 2ab'
loop_
_atom_site_label
_atom_site_type_symbol
_atom_site_fract_x
_atom_site_fract_y
_atom_site_fract_z
Ba1 Ba 0.000 0.000 0.000
Ba2 Ba 0.168 0.332 0.000
Nb1 Nb 0.000 0.500 0.500
Nb2 Nb 0.078 0.787 0.500
O1 O 0.000 0.500 0.000
O2 O 0.008 0.343 0.500
O3 O 0.068 0.139 0.500
O4 O 0.079 0.791 0.000
O5 O 0.222 0.722 0.500